Entry from the Alexandria database: a geometry-optimized CrGaIrO6 structure (GGA+U).

Results
- Symmetry: No. 102
- Total DFT energy (no corrections): -6.770 eV/atom

Cell lengths 4.5541, 4.5541, 9.2255 Å; angles 90.00, 90.00, 90.00 degrees
Closest atoms and distances in Å follow each position.
Positions (direct):
Cr (0.0000, 0.0000, 0.0000)  6 O 1.97-2.01
Cr (0.5000, 0.5000, 0.5000)  6 O 1.97-2.01
Ga (0.0000, 0.0000, 0.3326)  6 O 1.98-2.01
Ga (0.5000, 0.5000, 0.8326)  6 O 1.98-2.01
Ir (0.0000, 0.0000, 0.6657)  6 O 1.92-1.97
Ir (0.5000, 0.5000, 0.1657)  6 O 1.92-1.97
O (0.1931, 0.1931, 0.8316)  1 Ir 1.97, 1 Ga 1.98, 1 Cr 1.99
O (0.1938, 0.1938, 0.5014)  1 Ir 1.96, 1 Cr 1.97, 1 Ga 2.00
O (0.2015, 0.2015, 0.1657)  1 Ir 1.92, 1 Cr 2.01, 1 Ga 2.01
O (0.2985, 0.7015, 0.6657)  1 Ir 1.92, 1 Cr 2.01, 1 Ga 2.01
O (0.3062, 0.6938, 0.0014)  1 Ir 1.96, 1 Cr 1.97, 1 Ga 2.00
O (0.3069, 0.6931, 0.3316)  1 Ir 1.97, 1 Ga 1.98, 1 Cr 1.99
O (0.6931, 0.3069, 0.3316)  1 Ir 1.97, 1 Ga 1.98, 1 Cr 1.99
O (0.6938, 0.3062, 0.0014)  1 Ir 1.96, 1 Cr 1.97, 1 Ga 2.00
O (0.7015, 0.2985, 0.6657)  1 Ir 1.92, 1 Cr 2.01, 1 Ga 2.01
O (0.7985, 0.7985, 0.1657)  1 Ir 1.92, 1 Cr 2.01, 1 Ga 2.01
O (0.8062, 0.8062, 0.5014)  1 Ir 1.96, 1 Cr 1.97, 1 Ga 2.00
O (0.8069, 0.8069, 0.8316)  1 Ir 1.97, 1 Ga 1.98, 1 Cr 1.99